*a*
This record from the Alexandria database describes crystalline Ga3NO3 at its relaxed geometry. The functional is GGA-PBE.

- space group = C2/m, No. 12
- calculated density (g cm⁻³) = 6.0

```
data_Ga3NO3
_cell_length_a 5.9582
_cell_length_b 5.9582
_cell_length_c 10.3499
_cell_angle_alpha 73.04
_cell_angle_beta 73.04
_cell_angle_gamma 59.59
_symmetry_space_group_name_H-M 'P 1'
_symmetry_Int_Tables_number 1
_symmetry_space_group_name_Hall 'P 1'
loop_
_atom_site_label
_atom_site_type_symbol
_atom_site_fract_x
_atom_site_fract_y
_atom_site_fract_z
Ga1 Ga 0.9387 0.9387 0.1913
Ga2 Ga 0.7488 0.7488 0.7440
Ga3 Ga 0.5000 0.5000 0.0000
Ga4 Ga 0.2512 0.2512 0.2560
Ga5 Ga 0.0000 0.5000 0.5000
Ga6 Ga 0.0000 0.0000 0.5000
Ga7 Ga 0.5000 0.0000 0.0000
Ga8 Ga 0.5000 0.0000 0.5000
Ga9 Ga 0.0613 0.0613 0.8087
Ga10 Ga 0.5517 0.5517 0.3036
Ga11 Ga 0.0000 0.5000 0.0000
Ga12 Ga 0.4483 0.4483 0.6964
O1 O 0.1277 0.6129 0.1270
O2 O 0.8659 0.8659 0.8706
O3 O 0.8770 0.8770 0.3846
O4 O 0.6418 0.1140 0.6231
O5 O 0.1140 0.6418 0.6231
O6 O 0.3871 0.8723 0.8730
O7 O 0.8723 0.3871 0.8730
O8 O 0.1341 0.1341 0.1294
O9 O 0.6129 0.1277 0.1270
O10 O 0.3582 0.8860 0.3769
O11 O 0.1230 0.1230 0.6154
O12 O 0.8860 0.3582 0.3769
N1 N 0.3533 0.3533 0.3848
N2 N 0.6309 0.6309 0.1025
N3 N 0.3691 0.3691 0.8975
N4 N 0.6467 0.6467 0.6152
```

*b*
This record from the Alexandria database describes crystalline Ga3NO3 at its relaxed geometry. The functional is GGA-PBE.

- space group = P-6, No. 174
- calculated density (g cm⁻³) = 4.8

```
data_Ga3NO3
_cell_length_a 8.2448
_cell_length_b 8.2448
_cell_length_c 6.3694
_cell_angle_alpha 90.00
_cell_angle_beta 90.00
_cell_angle_gamma 120.00
_symmetry_space_group_name_H-M 'P 1'
_symmetry_Int_Tables_number 1
_symmetry_space_group_name_Hall 'P 1'
loop_
_atom_site_label
_atom_site_type_symbol
_atom_site_fract_x
_atom_site_fract_y
_atom_site_fract_z
Ga1 Ga 0.5062 0.4360 0.5000
Ga2 Ga 0.1674 0.9047 0.7434
Ga3 Ga 0.9213 0.4910 0.0000
Ga4 Ga 0.1674 0.9047 0.2566
Ga5 Ga 0.0953 0.2627 0.2566
Ga6 Ga 0.0953 0.2627 0.7434
Ga7 Ga 0.7373 0.8326 0.7434
Ga8 Ga 0.5090 0.4303 0.0000
Ga9 Ga 0.9298 0.4938 0.5000
Ga10 Ga 0.5697 0.0787 0.0000
Ga11 Ga 0.5640 0.0702 0.5000
Ga12 Ga 0.7373 0.8326 0.2566
O1 O 0.6667 0.3333 0.5000
O2 O 0.0019 0.6398 0.2471
O3 O 0.0000 0.0000 0.2307
O4 O 0.3602 0.3621 0.2471
O5 O 0.3008 0.9553 0.0000
O6 O 0.0019 0.6398 0.7529
O7 O 0.6379 0.9981 0.2471
O8 O 0.3602 0.3621 0.7529
O9 O 0.0447 0.3455 0.0000
O10 O 0.6545 0.6992 0.0000
O11 O 0.0000 0.0000 0.7693
O12 O 0.6379 0.9981 0.7529
N1 N 0.6667 0.3333 0.0000
N2 N 0.6710 0.6932 0.5000
N3 N 0.3068 0.9778 0.5000
N4 N 0.0222 0.3290 0.5000
```

*c*
This record from the Alexandria database describes crystalline Ga3NO3 at its relaxed geometry. The functional is GGA-PBE.

- space group = P6_3/m, No. 176
- density of states at the Fermi level (states/eV per cell) = 1.63
- calculated density (g cm⁻³) = 4.8

```
data_Ga3NO3
_cell_length_a 8.3237
_cell_length_b 8.3237
_cell_length_c 3.1477
_cell_angle_alpha 90.00
_cell_angle_beta 90.00
_cell_angle_gamma 120.00
_symmetry_space_group_name_H-M 'P 1'
_symmetry_Int_Tables_number 1
_symmetry_space_group_name_Hall 'P 1'
loop_
_atom_site_label
_atom_site_type_symbol
_atom_site_fract_x
_atom_site_fract_y
_atom_site_fract_z
O1 O 0.6808 0.9708 0.7500
O2 O 0.7100 0.6808 0.2500
O3 O 0.0292 0.7100 0.7500
O4 O 0.9708 0.2900 0.2500
O5 O 0.2900 0.3192 0.7500
O6 O 0.3192 0.0292 0.2500
N1 N 0.6667 0.3333 0.7500
N2 N 0.3333 0.6667 0.2500
Ga1 Ga 0.8227 0.2356 0.7500
Ga2 Ga 0.1773 0.7644 0.2500
Ga3 Ga 0.4129 0.1773 0.7500
Ga4 Ga 0.2356 0.4129 0.2500
Ga5 Ga 0.7644 0.5871 0.7500
Ga6 Ga 0.5871 0.8227 0.2500
```

Tell me which of them is the least stable. Sure, it is *c*.